1.
# Cd3CoCl meta-GGA SCAN PBEsol geometry
data_Cd3CoCl
_chemical_formula_sum 'Cd3 Co1 Cl1'
_space_group_name_H-M_alt 'P m -3 m'
_space_group_IT_number 221
_space_group_name_Hall '-P 4 2 3'
_cell_length_a 5.092
_cell_length_b 5.092
_cell_length_c 5.092
_cell_angle_alpha 90.00
_cell_angle_beta 90.00
_cell_angle_gamma 90.00
loop_
_atom_site_label
_atom_site_type_symbol
_atom_site_fract_x
_atom_site_fract_y
_atom_site_fract_z
_atom_site_occupancy
Cd1 Cd 0.000 0.000 0.500 1
Co1 Co 0.500 0.500 0.500 1
Cl1 Cl 0.000 0.000 0.000 1
# **Magnetic moment**: 2.076 μB/cell
# **ΔE_f (raw)**: 0.9145 eV per atom
# **Calculated total energy**: -22.3905 eV per atom


2.
# CdCo2Cl meta-GGA SCAN PBEsol geometry
data_CdCo2Cl
_chemical_formula_sum 'Cd2 Co4 Cl2'
_space_group_name_H-M_alt 'C 1 2/m 1'
_space_group_IT_number 12
_cell_length_a 9.376
_cell_length_b 2.900
_cell_length_c 7.125
_cell_angle_alpha 90.00
_cell_angle_beta 129.56
_cell_angle_gamma 90.00
loop_
_space_group_symop_operation_xyz
'x,y,z'
'-x,-y,-z'
'-x,y,-z'
'x,-y,z'
'x+1/2,y+1/2,z'
'-x+1/2,-y+1/2,-z'
'-x+1/2,y+1/2,-z'
'x+1/2,-y+1/2,z'
loop_
_atom_site_label
_atom_site_type_symbol
_atom_site_fract_x
_atom_site_fract_y
_atom_site_fract_z
_atom_site_occupancy
Cd1 Cd 0.000 0.000 0.000 1
Co1 Co 0.155 0.500 0.848 1
Cl1 Cl 0.000 0.000 0.500 1
# **Magnetic moment**: 6.964 μB/cell
# **ΔE_f (raw)**: 0.1150 eV per atom
# **Calculated total energy**: -18.1352 eV per atom
# **ΔE to the lowest computed polymorph**: 0.00 kcal/mol of atoms


3.
# Cd2CoCl meta-GGA SCAN PBEsol geometry
data_Cd2CoCl
_chemical_formula_sum 'Cd8 Co4 Cl4'
_space_group_name_H-M_alt 'F -4 3 m'
_space_group_IT_number 216
_space_group_name_Hall 'F -4 2 3'
_cell_length_a 6.549
_cell_length_b 6.549
_cell_length_c 6.549
_cell_angle_alpha 90.00
_cell_angle_beta 90.00
_cell_angle_gamma 90.00
loop_
_atom_site_label
_atom_site_type_symbol
_atom_site_fract_x
_atom_site_fract_y
_atom_site_fract_z
_atom_site_occupancy
Cd1 Cd 0.000 0.000 0.000 1
Cd2 Cd 0.250 0.250 0.250 1
Co1 Co 0.000 0.000 0.500 1
Cl1 Cl 0.250 0.250 0.750 1
# **Magnetic moment**: 0.001 μB/cell
# **ΔE_f (raw)**: 0.6689 eV per atom
# **Calculated total energy**: -20.8588 eV per atom
# **ΔE to the lowest computed polymorph**: 17.61 kcal/mol of atoms


4.
# CdCo3Cl meta-GGA SCAN PBEsol geometry
data_CdCo3Cl
_chemical_formula_sum 'Cd1 Co3 Cl1'
_space_group_name_H-M_alt 'P m -3 m'
_space_group_IT_number 221
_space_group_name_Hall '-P 4 2 3'
_cell_length_a 4.074
_cell_length_b 4.074
_cell_length_c 4.074
_cell_angle_alpha 90.00
_cell_angle_beta 90.00
_cell_angle_gamma 90.00
loop_
_atom_site_label
_atom_site_type_symbol
_atom_site_fract_x
_atom_site_fract_y
_atom_site_fract_z
_atom_site_occupancy
Cd1 Cd 0.000 0.000 0.000 1
Co1 Co 0.000 0.500 0.500 1
Cl1 Cl 0.500 0.500 0.500 1
# **Magnetic moment**: 2.214 μB/cell
# **ΔE_f (raw)**: 0.7555 eV per atom
# **Calculated total energy**: -17.3055 eV per atom


5.
# CdCo2Cl meta-GGA SCAN PBEsol geometry
data_CdCo2Cl
_chemical_formula_sum 'Cd1 Co2 Cl1'
_space_group_name_H-M_alt 'P 4 m m'
_space_group_IT_number 99
_cell_length_a 2.893
_cell_length_b 2.893
_cell_length_c 7.274
_cell_angle_alpha 90.00
_cell_angle_beta 90.00
_cell_angle_gamma 90.00
loop_
_space_group_symop_operation_xyz
'x,y,z'
'-y,x,z'
'-x,-y,z'
'y,-x,z'
'-x,y,z'
'y,x,z'
'x,-y,z'
'-y,-x,z'
loop_
_atom_site_label
_atom_site_type_symbol
_atom_site_fract_x
_atom_site_fract_y
_atom_site_fract_z
_atom_site_occupancy
Cd1 Cd 0.000 0.000 0.000 1
Co1 Co 0.000 0.000 0.576 1
Co2 Co 0.500 0.500 0.759 1
Cl1 Cl 0.500 0.500 0.371 1
# **Magnetic moment**: 3.853 μB/cell
# **ΔE_f (raw)**: 0.1285 eV per atom
# **Calculated total energy**: -18.1217 eV per atom
# **ΔE to the lowest computed polymorph**: 0.31 kcal/mol of atoms


6.
# Cd2CoCl meta-GGA SCAN PBEsol geometry
data_Cd2CoCl
_chemical_formula_sum 'Cd6 Co3 Cl3'
_space_group_name_H-M_alt 'R 3 m'
_space_group_IT_number 160
_space_group_name_Hall 'R 3 -2"'
_cell_length_a 3.0657
_cell_length_b 3.0657
_cell_length_c 27.9680
_cell_angle_alpha 90.00
_cell_angle_beta 90.00
_cell_angle_gamma 120.00
loop_
_atom_site_label
_atom_site_type_symbol
_atom_site_fract_x
_atom_site_fract_y
_atom_site_fract_z
_atom_site_occupancy
Cd1 Cd 0.0000 0.0000 0.0000 1
Cd2 Cd 0.0000 0.0000 0.2390 1
Co1 Co 0.0000 0.0000 0.4983 1
Cl1 Cl 0.0000 0.0000 0.7821 1
# **Magnetic moment**: 5.684 μB/cell
# **ΔE_f (raw)**: -0.0950 eV per atom
# **Calculated total energy**: -21.6227 eV per atom
# **ΔE to the lowest computed polymorph**: 0.00 kcal/mol of atoms


7.
# Cd2CoCl meta-GGA SCAN PBEsol geometry
data_Cd2CoCl
_chemical_formula_sum 'Cd4 Co2 Cl2'
_space_group_name_H-M_alt 'I -4 m 2'
_space_group_IT_number 119
_space_group_name_Hall 'I -4 -2'
_cell_length_a 3.897
_cell_length_b 3.897
_cell_length_c 9.707
_cell_angle_alpha 90.00
_cell_angle_beta 90.00
_cell_angle_gamma 90.00
loop_
_atom_site_label
_atom_site_type_symbol
_atom_site_fract_x
_atom_site_fract_y
_atom_site_fract_z
_atom_site_occupancy
Cd1 Cd 0.000 0.000 0.000 1
Cd2 Cd 0.000 0.500 0.250 1
Co1 Co 0.000 0.500 0.750 1
Cl1 Cl 0.000 0.000 0.500 1
# **Magnetic moment**: 3.897 μB/cell
# **ΔE_f (raw)**: 0.3470 eV per atom
# **Calculated total energy**: -21.1807 eV per atom
# **ΔE to the lowest computed polymorph**: 10.19 kcal/mol of atoms


8.
# CdCoP2Cl meta-GGA SCAN PBEsol geometry
data_CdCoP2Cl
_chemical_formula_sum 'Cd1 Co1 P2 Cl1'
_space_group_name_H-M_alt 'P 4/m m m'
_space_group_IT_number 123
_space_group_name_Hall '-P 4 2'
_cell_length_a 4.235
_cell_length_b 4.235
_cell_length_c 5.102
_cell_angle_alpha 90.00
_cell_angle_beta 90.00
_cell_angle_gamma 90.00
loop_
_atom_site_label
_atom_site_type_symbol
_atom_site_fract_x
_atom_site_fract_y
_atom_site_fract_z
_atom_site_occupancy
Cd1 Cd 0.000 0.000 0.000 1
Co1 Co 0.500 0.500 0.500 1
P1 P 0.000 0.500 0.500 1
Cl1 Cl 0.500 0.500 0.000 1
# **Magnetic moment**: 2.348 μB/cell
# **ΔE_f (raw)**: 0.2735 eV per atom
# **Calculated total energy**: -15.0252 eV per atom


9.
# Cr2CdCl meta-GGA SCAN PBEsol geometry
data_Cr2CdCl
_chemical_formula_sum 'Cr6 Cd3 Cl3'
_space_group_name_H-M_alt 'R -3 m'
_space_group_IT_number 166
_space_group_name_Hall '-R 3 2"'
_cell_length_a 3.1967
_cell_length_b 3.1967
_cell_length_c 24.1659
_cell_angle_alpha 90.00
_cell_angle_beta 90.00
_cell_angle_gamma 120.00
loop_
_atom_site_label
_atom_site_type_symbol
_atom_site_fract_x
_atom_site_fract_y
_atom_site_fract_z
_atom_site_occupancy
Cr1 Cr 0.0000 0.0000 0.2442 1
Cd1 Cd 0.0000 0.0000 0.0000 1
Cl1 Cl 0.0000 0.0000 0.5000 1
# **Magnetic moment**: 26.126 μB/cell
# **ΔE_f (raw)**: -0.0068 eV per atom
# **Calculated total energy**: -18.7972 eV per atom
# **ΔE to the lowest computed polymorph**: 0.00 kcal/mol of atoms


10.
# CrCdCl3 meta-GGA SCAN PBEsol geometry
data_CrCdCl3
_chemical_formula_sum 'Cr1 Cd1 Cl3'
_space_group_name_H-M_alt 'P m -3 m'
_space_group_IT_number 221
_space_group_name_Hall '-P 4 2 3'
_cell_length_a 5.060
_cell_length_b 5.060
_cell_length_c 5.060
_cell_angle_alpha 90.00
_cell_angle_beta 90.00
_cell_angle_gamma 90.00
loop_
_atom_site_label
_atom_site_type_symbol
_atom_site_fract_x
_atom_site_fract_y
_atom_site_fract_z
_atom_site_occupancy
Cr1 Cr 0.000 0.000 0.000 1
Cd1 Cd 0.500 0.500 0.500 1
Cl1 Cl 0.000 0.500 0.500 1
# **Magnetic moment**: 5.000 μB/cell
# **ΔE_f (raw)**: -0.6007 eV per atom
# **Calculated total energy**: -15.1473 eV per atom


11.
# CrCdCl2 meta-GGA SCAN PBEsol geometry
data_CrCdCl2
_chemical_formula_sum 'Cr2 Cd2 Cl4'
_space_group_name_H-M_alt 'I m m 2'
_space_group_IT_number 44
_cell_length_a 3.285
_cell_length_b 6.275
_cell_length_c 8.944
_cell_angle_alpha 90.00
_cell_angle_beta 90.00
_cell_angle_gamma 90.00
loop_
_space_group_symop_operation_xyz
'x,y,z'
'-x,-y,z'
'-x,y,z'
'x,-y,z'
'x+1/2,y+1/2,z+1/2'
'-x+1/2,-y+1/2,z+1/2'
'-x+1/2,y+1/2,z+1/2'
'x+1/2,-y+1/2,z+1/2'
loop_
_atom_site_label
_atom_site_type_symbol
_atom_site_fract_x
_atom_site_fract_y
_atom_site_fract_z
_atom_site_occupancy
Cr1 Cr 0.000 0.000 0.000 1
Cd1 Cd 0.000 0.500 0.246 1
Cl1 Cl 0.000 0.000 0.520 1
Cl2 Cl 0.000 0.500 0.679 1
# **Magnetic moment**: 7.984 μB/cell
# **ΔE_f (raw)**: -0.6906 eV per atom
# **Calculated total energy**: -16.8793 eV per atom


12.
# Cr2CdCl meta-GGA SCAN PBEsol geometry
data_Cr2CdCl
_chemical_formula_sum 'Cr4 Cd2 Cl2'
_space_group_name_H-M_alt 'I 4/m m m'
_space_group_IT_number 139
_space_group_name_Hall '-I 4 2'
_cell_length_a 4.299
_cell_length_b 4.299
_cell_length_c 8.043
_cell_angle_alpha 90.00
_cell_angle_beta 90.00
_cell_angle_gamma 90.00
loop_
_atom_site_label
_atom_site_type_symbol
_atom_site_fract_x
_atom_site_fract_y
_atom_site_fract_z
_atom_site_occupancy
Cr1 Cr 0.000 0.500 0.250 1
Cd1 Cd 0.000 0.000 0.000 1
Cl1 Cl 0.000 0.000 0.500 1
# **Magnetic moment**: 17.997 μB/cell
# **ΔE_f (raw)**: 0.2843 eV per atom
# **Calculated total energy**: -18.5060 eV per atom
# **ΔE to the lowest computed polymorph**: 6.71 kcal/mol of atoms


13.
# CrCd4Cl meta-GGA SCAN PBEsol geometry
data_CrCd4Cl
_chemical_formula_sum 'Cr4 Cd16 Cl4'
_space_group_name_H-M_alt 'F -4 3 m'
_space_group_IT_number 216
_space_group_name_Hall 'F -4 2 3'
_cell_length_a 8.099
_cell_length_b 8.099
_cell_length_c 8.099
_cell_angle_alpha 90.00
_cell_angle_beta 90.00
_cell_angle_gamma 90.00
loop_
_atom_site_label
_atom_site_type_symbol
_atom_site_fract_x
_atom_site_fract_y
_atom_site_fract_z
_atom_site_occupancy
Cr1 Cr 0.000 0.000 0.000 1
Cd1 Cd 0.125 0.125 0.375 1
Cl1 Cl 0.250 0.250 0.750 1
# **Magnetic moment**: 18.834 μB/cell
# **ΔE_f (raw)**: 0.1456 eV per atom
# **Calculated total energy**: -24.5244 eV per atom


14.
# CrCdN2Cl meta-GGA SCAN PBEsol geometry
data_CrCdN2Cl
_chemical_formula_sum 'Cr1 Cd1 N2 Cl1'
_space_group_name_H-M_alt 'P 4/m m m'
_space_group_IT_number 123
_space_group_name_Hall '-P 4 2'
_cell_length_a 4.047
_cell_length_b 4.047
_cell_length_c 6.138
_cell_angle_alpha 90.00
_cell_angle_beta 90.00
_cell_angle_gamma 90.00
loop_
_atom_site_label
_atom_site_type_symbol
_atom_site_fract_x
_atom_site_fract_y
_atom_site_fract_z
_atom_site_occupancy
Cr1 Cr 0.000 0.000 0.000 1
Cd1 Cd 0.000 0.000 0.500 1
N1 N 0.000 0.500 0.500 1
Cl1 Cl 0.500 0.500 0.000 1
# **Magnetic moment**: 8.006 μB/cell
# **ΔE_f (raw)**: 1.4043 eV per atom
# **Calculated total energy**: -13.6676 eV per atom